Here is an optimized crystal structure of NdNpFe2O6 from the Alexandria database. Energies are from PBE+U.

The structure in POSCAR format:
```
NdNpFe2O6
1.0
5.578 0.000 0.000
-2.765 4.903 0.000
-2.719 -1.544 5.002
Nd Np Fe O
1 1 2 6
direct
0.000 0.000 0.000
0.980 0.487 0.463
0.563 0.274 0.837
0.587 0.806 0.370
0.091 0.198 0.657
0.103 0.430 0.187
0.469 0.887 0.648
0.516 0.096 0.157
0.760 0.675 0.191
0.785 0.559 0.675
```

V: 13.68 Å³ per atom
raw total energy: -8.263 eV/atom
M_tot: 6.00 Bohr magnetons per cell
space-group type: No. 1